(1)
The following is a PBE-GGA calculation of Tb2GaNi5Ir2 after structural relaxation, from Alexandria via LeMat-Bulk.

Cell lengths 3.6906, 9.2456, 9.2456 Å; angles 90.00, 90.00, 90.00 degrees
Last column: nearest neighbours and their distance in Å.
Positions (direct):
Ni1 0.5000 0.8102 0.9404  2 Ir 2.57, 2 Ni 2.60, 2 Ga 2.61
Ni2 0.5000 0.5000 0.0000  4 Ir 2.51
Ni3 0.5000 0.5596 0.6898  2 Ir 2.57, 2 Ni 2.60, 2 Ga 2.61
Ni4 0.5000 0.4404 0.3102  2 Ir 2.57, 2 Ni 2.60, 2 Ga 2.61
Ni5 0.5000 0.3102 0.5596  2 Ir 2.57, 2 Ni 2.60, 2 Ga 2.61
Ni6 0.5000 0.9404 0.1898  2 Ir 2.57, 2 Ni 2.60, 2 Ga 2.61
Ni7 0.5000 0.1898 0.0596  2 Ir 2.57, 2 Ni 2.60, 2 Ga 2.61
Ni8 0.5000 0.0000 0.5000  4 Ir 2.51
Ni9 0.5000 0.0596 0.8102  2 Ir 2.57, 2 Ni 2.60, 2 Ga 2.61
Ni10 0.5000 0.6898 0.4404  2 Ir 2.57, 2 Ni 2.60, 2 Ga 2.61
Tb1 0.0000 0.1688 0.3312  3 Ir 2.62-2.79, 2 Ni 2.88
Tb2 0.0000 0.6688 0.1688  3 Ir 2.62-2.79, 2 Ni 2.88
Tb3 0.0000 0.3312 0.8312  3 Ir 2.62-2.79, 2 Ni 2.88
Tb4 0.0000 0.8312 0.6688  3 Ir 2.62-2.79, 2 Ni 2.88
Ga1 0.0000 0.0000 0.0000  8 Ni 2.61
Ga2 0.0000 0.5000 0.5000  8 Ni 2.61
Ir1 0.0000 0.3694 0.1306  6 Ni 2.51-2.57, 3 Tb 2.62-2.79
Ir2 0.0000 0.1306 0.6306  6 Ni 2.51-2.57, 3 Tb 2.62-2.79
Ir3 0.0000 0.8694 0.3694  6 Ni 2.51-2.57, 3 Tb 2.62-2.79
Ir4 0.0000 0.6306 0.8694  6 Ni 2.51-2.57, 3 Tb 2.62-2.79

Properties
Crystal system ... tetragonal
Space-group type ... P4/mbm (127)
Formation energy from the elements ... -0.2747 eV/atom

---

(2)
The following is a PBE-GGA calculation of Tb2Ga4NiIr3 after structural relaxation, from Alexandria via LeMat-Bulk.

Cell lengths 4.1213, 4.1213, 10.5803 Å; angles 90.00, 90.00, 90.00 degrees
Last column: nearest neighbours and their distance in Å.
Positions (direct):
Ga1 0.0000 0.0000 0.0000  4 Ir 2.54
Ga2 0.5000 0.5000 0.0000  4 Ir 2.54
Ga3 0.5000 0.0000 0.6255  2 Ni 2.45, 3 Ir 2.45-2.47
Ga4 0.0000 0.5000 0.3745  3 Ir 2.45-2.47, 2 Ni 2.45
Tb1 0.5000 0.0000 0.2560  6 Ir 3.16-3.30, 8 Ga 3.17-3.40, 2 Ni 3.30
Tb2 0.0000 0.5000 0.7440  6 Ir 3.16-3.30, 8 Ga 3.17-3.40, 2 Ni 3.30
Ir1 0.5000 0.0000 0.8593  5 Ga 2.47-2.54
Ir2 0.0000 0.5000 0.1407  5 Ga 2.47-2.54
Ir3 0.0000 0.0000 0.5000  4 Ga 2.45
Ni1 0.5000 0.5000 0.5000  4 Ga 2.45

Properties
Crystal system ... tetragonal
Space-group type ... P-4m2 (115)
Formation energy from the elements ... -0.6750 eV/atom

---

(3)
The following is a PBE-GGA calculation of TbGa2Ni2Ir after structural relaxation, from Alexandria via LeMat-Bulk.

Cell lengths 4.6795, 4.6795, 5.2812 Å; angles 90.00, 90.00, 90.00 degrees
Last column: nearest neighbours and their distance in Å.
Positions (direct):
Ga1 0.5000 0.0000 0.0000  2 Ir 2.34
Ga2 0.0000 0.5000 0.0000  2 Ir 2.34
Ni1 0.5000 0.5000 0.7435  2 Ni 2.57-2.71, 4 Ga 2.70
Ni2 0.5000 0.5000 0.2565  2 Ni 2.57-2.71, 4 Ga 2.70
Ir1 0.0000 0.0000 0.0000  4 Ga 2.34
Tb1 0.0000 0.0000 0.5000  2 Ir 2.64

Properties
Crystal system ... tetragonal
Space-group type ... P4/mmm (123)
Formation energy from the elements ... -0.0688 eV/atom

---

(4)
The following is a PBE-GGA calculation of Ga2TcNiIr after structural relaxation, from Alexandria via LeMat-Bulk.

Cell lengths 4.6607, 4.6741, 4.6607 Å; angles 90.00, 90.00, 90.00 degrees
Last column: nearest neighbours and their distance in Å.
Positions (direct):
Ga1 0.0000 0.0000 0.5000  2 Ir 2.33
Ga2 0.5000 0.0000 0.0000  2 Ir 2.33
Ni1 0.0000 0.5000 0.0000  2 Ir 2.34
Ir1 0.0000 0.0000 0.0000  4 Ga 2.33, 2 Ni 2.34
Tc1 0.5000 0.5000 0.5000  4 Ni 3.30, 8 Ga 3.30

Properties
Crystal system ... tetragonal
Space-group type ... P4/mmm (123)
Formation energy from the elements ... 0.9323 eV/atom

---

(5)
The following is a PBE-GGA calculation of Ga2NiTeIr after structural relaxation, from Alexandria via LeMat-Bulk.

Cell lengths 4.4164, 4.9725, 4.4164 Å; angles 90.00, 90.00, 90.00 degrees
Last column: nearest neighbours and their distance in Å.
Positions (direct):
Ga1 0.5000 0.0000 0.0000  2 Ni 2.21
Ga2 0.0000 0.0000 0.5000  2 Ni 2.21
Ir1 0.0000 0.5000 0.0000  2 Ni 2.49
Ni1 0.0000 0.0000 0.0000  4 Ga 2.21
Te1 0.5000 0.5000 0.5000  4 Ir 3.12, 8 Ga 3.33

Properties
Crystal system ... tetragonal
Space-group type ... P4/mmm (123)
Formation energy (no corrections) ... 0.349 eV per atom

---

(6)
The following is a PBE-GGA calculation of Th2Ga4NiIr3 after structural relaxation, from Alexandria via LeMat-Bulk.

Cell lengths 4.1777, 4.1777, 10.6333 Å; angles 90.00, 90.00, 90.00 degrees
Last column: nearest neighbours and their distance in Å.
Positions (direct):
Ir1 0.0000 0.0000 0.5000  4 Ga 2.47
Ir2 0.0000 0.5000 0.1422  5 Ga 2.49-2.58
Ir3 0.5000 0.0000 0.8578  5 Ga 2.49-2.58
Ga1 0.0000 0.5000 0.3766  3 Ir 2.47-2.49, 2 Ni 2.47
Ga2 0.0000 0.0000 0.0000  4 Ir 2.58
Ga3 0.5000 0.5000 0.0000  4 Ir 2.58
Ga4 0.5000 0.0000 0.6234  2 Ni 2.47, 3 Ir 2.47-2.49
Th1 0.5000 0.0000 0.2494  6 Ir 3.17-3.39, 8 Ga 3.25-3.38, 2 Ni 3.39
Th2 0.0000 0.5000 0.7506  6 Ir 3.17-3.39, 8 Ga 3.25-3.38, 2 Ni 3.39
Ni1 0.5000 0.5000 0.5000  4 Ga 2.47

Properties
Crystal system ... tetragonal
Space-group type ... P-4m2 (115)
Formation energy from the elements ... -0.6947 eV/atom

---

(7)
The following is a PBE-GGA calculation of Th2Ga3Ni12Ir after structural relaxation, from Alexandria via LeMat-Bulk.

Cell lengths 9.1570, 9.1570, 9.1570 Å; angles 39.20, 39.20, 39.20 degrees
Last column: nearest neighbours and their distance in Å.
Positions (direct):
Ni1 0.5845 0.5845 0.1958  2 Ga 2.30, 4 Ni 2.39-2.45
Ni2 0.8897 0.4129 0.8897  2 Ni 2.45, 1 Ir 2.47, 1 Ga 2.60
Ni3 0.1103 0.1103 0.5871  2 Ni 2.45, 1 Ir 2.47, 1 Ga 2.60
Ni4 0.4129 0.8897 0.8897  2 Ni 2.45, 1 Ir 2.47, 1 Ga 2.60
Ni5 0.8897 0.8897 0.4129  2 Ni 2.45, 1 Ir 2.47, 1 Ga 2.60
Ni6 0.1103 0.5871 0.1103  2 Ni 2.45, 1 Ir 2.47, 1 Ga 2.60
Ni7 0.5871 0.1103 0.1103  2 Ni 2.45, 1 Ir 2.47, 1 Ga 2.60
Ni8 0.5845 0.1958 0.5845  2 Ga 2.30, 4 Ni 2.39-2.45
Ni9 0.4155 0.4155 0.8042  2 Ga 2.30, 4 Ni 2.39-2.45
Ni10 0.8042 0.4155 0.4155  2 Ga 2.30, 4 Ni 2.39-2.45
Ni11 0.1958 0.5845 0.5845  2 Ga 2.30, 4 Ni 2.39-2.45
Ni12 0.4155 0.8042 0.4155  2 Ga 2.30, 4 Ni 2.39-2.45
Th1 0.6426 0.6426 0.6426  6 Ni 2.80-2.83
Th2 0.3574 0.3574 0.3574  6 Ni 2.80-2.83
Ga1 0.0000 0.5000 0.0000  4 Ni 2.30
Ga2 0.0000 0.0000 0.5000  4 Ni 2.30
Ga3 0.5000 0.0000 0.0000  4 Ni 2.30
Ir1 0.0000 0.0000 0.0000  6 Ni 2.47

Properties
Crystal system ... trigonal
Space-group type ... R-3m (166)
Formation energy from the elements ... -0.0299 eV/atom

---

(8)
The following is a PBE-GGA calculation of ThGa4Ni2Ir after structural relaxation, from Alexandria via LeMat-Bulk.

Cell lengths 4.1521, 4.1521, 9.2456 Å; angles 77.02, 77.02, 60.00 degrees
Last column: nearest neighbours and their distance in Å.
Positions (direct):
Ir1 0.5000 0.5000 0.5000  8 Ga 2.59-2.60
Ga1 0.1293 0.1293 0.6122  4 Ni 2.50-2.72, 3 Ir 2.60
Ga2 0.5967 0.5967 0.2098  3 Ni 2.55, 1 Ir 2.59
Ga3 0.8707 0.8707 0.3878  4 Ni 2.50-2.72, 3 Ir 2.60
Ga4 0.4033 0.4033 0.7902  3 Ni 2.55, 1 Ir 2.59
Ni1 0.2308 0.2308 0.3075  7 Ga 2.50-2.72
Ni2 0.7692 0.7692 0.6925  7 Ga 2.50-2.72
Th1 0.0000 0.0000 0.0000  6 Ga 3.04

Properties
Crystal system ... trigonal
Space-group type ... R-3m (166)
Formation energy from the elements ... -0.4486 eV/atom

---

(9)
The following is a PBE-GGA calculation of ThGa3NiIr after structural relaxation, from Alexandria via LeMat-Bulk.

Cell lengths 5.9022, 6.1127, 6.7611 Å; angles 116.87, 90.00, 90.00 degrees
Last column: nearest neighbours and their distance in Å.
Positions (direct):
Ni1 0.7500 0.0537 0.1074  5 Ga 2.39-2.40, 1 Th 2.58
Ni2 0.2500 0.9463 0.8926  5 Ga 2.39-2.40, 1 Th 2.58
Ga1 0.0000 0.7087 0.0000  2 Ni 2.40, 1 Ga 2.55, 2 Ir 2.68
Ga2 0.0000 0.2913 0.0000  2 Ni 2.40, 1 Ga 2.55, 2 Ir 2.68
Ga3 0.5000 0.2913 0.0000  2 Ni 2.40, 1 Ga 2.55, 2 Ir 2.68
Ga4 0.7500 0.8553 0.7107  1 Ni 2.39, 1 Ir 2.45
Ga5 0.2500 0.1447 0.2893  1 Ni 2.39, 1 Ir 2.45
Ga6 0.5000 0.7087 0.0000  2 Ni 2.40, 1 Ga 2.55, 2 Ir 2.68
Th1 0.7500 0.2675 0.5350  1 Ni 2.58
Th2 0.2500 0.7325 0.4650  1 Ni 2.58
Ir1 0.7500 0.6524 0.3047  5 Ga 2.45-2.68
Ir2 0.2500 0.3476 0.6953  5 Ga 2.45-2.68

Properties
Crystal system ... orthorhombic
Space-group type ... Cmcm (63)
Formation energy from the elements ... -0.4361 eV/atom

---

(10)
The following is a PBE-GGA calculation of ThGa5Ni2Ir after structural relaxation, from Alexandria via LeMat-Bulk.

Cell lengths 4.6759, 4.6759, 7.0170 Å; angles 90.00, 90.00, 90.00 degrees
Last column: nearest neighbours and their distance in Å.
Positions (direct):
Ga1 0.5000 0.0000 0.8080  2 Ni 2.34
Ga2 0.5000 0.0000 0.1920  2 Ni 2.34
Ga3 0.0000 0.5000 0.1920  2 Ni 2.34
Ga4 0.0000 0.5000 0.8080  2 Ni 2.34
Ga5 0.5000 0.5000 0.5000  2 Ni 2.29
Ni1 0.5000 0.5000 0.8258  5 Ga 2.29-2.34, 1 Ni 2.44
Ni2 0.5000 0.5000 0.1742  5 Ga 2.29-2.34, 1 Ni 2.44
Ir1 0.0000 0.0000 0.0000  8 Ga 2.70
Th1 0.0000 0.0000 0.5000  12 Ga 3.18-3.31, 2 Ir 3.51

Properties
Crystal system ... tetragonal
Space-group type ... P4/mmm (123)
Formation energy from the elements ... -0.2612 eV/atom

---

(11)
The following is a PBE-GGA calculation of ThGa2NiIr2 after structural relaxation, from Alexandria via LeMat-Bulk.

Cell lengths 4.4337, 4.4337, 5.5408 Å; angles 90.00, 90.00, 90.00 degrees
Last column: nearest neighbours and their distance in Å.
Positions (direct):
Ga1 0.5000 0.0000 0.0000  2 Ni 2.22
Ga2 0.0000 0.5000 0.0000  2 Ni 2.22
Ni1 0.0000 0.0000 0.0000  4 Ga 2.22
Ir1 0.5000 0.5000 0.7272  1 Ir 2.52, 4 Ga 2.68
Ir2 0.5000 0.5000 0.2728  1 Ir 2.52, 4 Ga 2.68
Th1 0.0000 0.0000 0.5000  2 Ni 2.77

Properties
Crystal system ... tetragonal
Space-group type ... P4/mmm (123)
Formation energy from the elements ... -0.3152 eV/atom